VASP calculation (PBE) on a geometry-optimized SiBBr3 structure.

## Properties
energy relative to the elements, uncorrected = 75 kJ per mole of atoms

Geometry as CIF:
```
data_SiBBr3
_space_group_name_H-M_alt 'P m -3 m'
_space_group_IT_number 221
_space_group_name_Hall '-P 4 2 3'
_cell_length_a 5.209
_cell_length_b 5.209
_cell_length_c 5.209
_cell_angle_alpha 90.00
_cell_angle_beta 90.00
_cell_angle_gamma 90.00
loop_
_atom_site_label
_atom_site_fract_x
_atom_site_fract_y
_atom_site_fract_z
Si1 0.000 0.000 0.000
B1 0.500 0.500 0.500
Br1 0.000 0.000 0.500
```